# RbPr2Cu3SeS4, optimized geometry, DFT PBE-GGA
data_RbPr2Cu3SeS4
_symmetry_space_group_name_H-M 'P 1'
_symmetry_Int_Tables_number 1
_cell_length_a 7.343
_cell_length_b 7.343
_cell_length_c 17.447
_cell_angle_alpha 90.00
_cell_angle_beta 90.00
_cell_angle_gamma 147.66
loop_
_symmetry_equiv_pos_as_xyz
'x,y,z'
loop_
_atom_site_label
_atom_site_fract_x
_atom_site_fract_y
_atom_site_fract_z
_atom_site_occupancy
Cu1 0.417 0.583 0.038 1
Cu2 0.655 0.345 0.250 1
Cu3 0.417 0.583 0.462 1
Cu4 0.583 0.417 0.538 1
Cu5 0.345 0.655 0.750 1
Cu6 0.583 0.417 0.962 1
Pr1 0.189 0.811 0.090 1
Pr2 0.189 0.811 0.410 1
Pr3 0.811 0.189 0.590 1
Pr4 0.811 0.189 0.910 1
Rb1 0.939 0.061 0.250 1
Rb2 0.061 0.939 0.750 1
S1 0.838 0.162 0.069 1
S2 0.556 0.444 0.113 1
S3 0.556 0.444 0.387 1
S4 0.838 0.162 0.431 1
S5 0.162 0.838 0.569 1
S6 0.444 0.556 0.613 1
S7 0.444 0.556 0.887 1
S8 0.162 0.838 0.931 1
Se1 0.243 0.757 0.250 1
Se2 0.757 0.243 0.750 1
# total moment	0.002	μB per cell
# SG	Cmcm (63)
# E	-4.949	eV/atom

# RbPr2CuSe3S, optimized geometry, DFT PBE-GGA
data_RbPr2CuSe3S
_symmetry_space_group_name_H-M 'P 1'
_symmetry_Int_Tables_number 1
_cell_length_a 7.625
_cell_length_b 7.625
_cell_length_c 14.589
_cell_angle_alpha 90.00
_cell_angle_beta 90.00
_cell_angle_gamma 147.81
loop_
_symmetry_equiv_pos_as_xyz
'x,y,z'
loop_
_atom_site_label
_atom_site_fract_x
_atom_site_fract_y
_atom_site_fract_z
_atom_site_occupancy
Cu1 0.659 0.341 0.250 1
Cu2 0.341 0.659 0.750 1
Pr1 0.135 0.865 0.066 1
Pr2 0.135 0.865 0.434 1
Pr3 0.865 0.135 0.566 1
Pr4 0.865 0.135 0.934 1
Rb1 0.401 0.599 0.250 1
Rb2 0.599 0.401 0.750 1
S1 0.077 0.923 0.250 1
S2 0.923 0.077 0.750 1
Se1 0.500 0.500 0.000 1
Se2 0.766 0.234 0.116 1
Se3 0.766 0.234 0.384 1
Se4 0.500 0.500 0.500 1
Se5 0.234 0.766 0.616 1
Se6 0.234 0.766 0.884 1
# total moment	0.001	μB per cell
# SG	Cmcm (63)
# E	-5.134	eV/atom

# Rb2Pr4Cu4Se9, optimized geometry, DFT PBE-GGA
data_Rb2Pr4Cu4Se9
_symmetry_space_group_name_H-M 'P 1'
_symmetry_Int_Tables_number 1
_cell_length_a 7.666
_cell_length_b 7.666
_cell_length_c 17.074
_cell_angle_alpha 108.09
_cell_angle_beta 108.09
_cell_angle_gamma 32.04
loop_
_symmetry_equiv_pos_as_xyz
'x,y,z'
loop_
_atom_site_label
_atom_site_fract_x
_atom_site_fract_y
_atom_site_fract_z
_atom_site_occupancy
Cu1 0.742 0.742 0.228 1
Cu2 0.075 0.075 0.472 1
Cu3 0.925 0.925 0.528 1
Cu4 0.258 0.258 0.772 1
Pr1 0.156 0.156 0.055 1
Pr2 0.269 0.269 0.397 1
Pr3 0.731 0.731 0.603 1
Pr4 0.844 0.844 0.945 1
Rb1 0.471 0.471 0.230 1
Rb2 0.529 0.529 0.770 1
Se1 0.500 0.500 0.000 1
Se2 0.803 0.803 0.107 1
Se3 0.152 0.152 0.224 1
Se4 0.897 0.897 0.373 1
Se5 0.632 0.632 0.423 1
Se6 0.368 0.368 0.577 1
Se7 0.103 0.103 0.627 1
Se8 0.848 0.848 0.776 1
Se9 0.197 0.197 0.893 1
# total moment	0.003	μB per cell
# SG	C2/m (12)
# E	-4.817	eV/atom

# RbPr2Cu3Se5, optimized geometry, DFT PBE-GGA
data_RbPr2Cu3Se5
_symmetry_space_group_name_H-M 'P 1'
_symmetry_Int_Tables_number 1
_cell_length_a 7.635
_cell_length_b 7.635
_cell_length_c 17.797
_cell_angle_alpha 90.00
_cell_angle_beta 90.00
_cell_angle_gamma 147.89
loop_
_symmetry_equiv_pos_as_xyz
'x,y,z'
loop_
_atom_site_label
_atom_site_fract_x
_atom_site_fract_y
_atom_site_fract_z
_atom_site_occupancy
Cu1 0.916 0.084 0.028 1
Cu2 0.162 0.838 0.250 1
Cu3 0.916 0.084 0.472 1
Cu4 0.084 0.916 0.528 1
Cu5 0.838 0.162 0.750 1
Cu6 0.084 0.916 0.972 1
Pr1 0.692 0.308 0.091 1
Pr2 0.692 0.308 0.409 1
Pr3 0.308 0.692 0.591 1
Pr4 0.308 0.692 0.909 1
Rb1 0.437 0.563 0.250 1
Rb2 0.563 0.437 0.750 1
Se1 0.340 0.660 0.072 1
Se2 0.055 0.945 0.114 1
Se3 0.741 0.259 0.250 1
Se4 0.055 0.945 0.386 1
Se5 0.340 0.660 0.428 1
Se6 0.660 0.340 0.572 1
Se7 0.945 0.055 0.614 1
Se8 0.259 0.741 0.750 1
Se9 0.945 0.055 0.886 1
Se10 0.660 0.340 0.928 1
# total moment	0.001	μB per cell
# SG	Cmcm (63)
# E	-4.660	eV/atom

# RbPr2Cu3TeSe4, optimized geometry, DFT PBE-GGA
data_RbPr2Cu3TeSe4
_symmetry_space_group_name_H-M 'P 1'
_symmetry_Int_Tables_number 1
_cell_length_a 7.638
_cell_length_b 7.638
_cell_length_c 18.144
_cell_angle_alpha 90.00
_cell_angle_beta 90.00
_cell_angle_gamma 147.52
loop_
_symmetry_equiv_pos_as_xyz
'x,y,z'
loop_
_atom_site_label
_atom_site_fract_x
_atom_site_fract_y
_atom_site_fract_z
_atom_site_occupancy
Cu1 0.916 0.084 0.028 1
Cu2 0.161 0.839 0.250 1
Cu3 0.916 0.084 0.472 1
Cu4 0.084 0.916 0.528 1
Cu5 0.839 0.161 0.750 1
Cu6 0.084 0.916 0.972 1
Pr1 0.690 0.310 0.087 1
Pr2 0.690 0.310 0.413 1
Pr3 0.310 0.690 0.587 1
Pr4 0.310 0.690 0.913 1
Rb1 0.452 0.548 0.250 1
Rb2 0.548 0.452 0.750 1
Se1 0.340 0.660 0.072 1
Se2 0.055 0.945 0.112 1
Se3 0.055 0.945 0.388 1
Se4 0.340 0.660 0.428 1
Se5 0.660 0.340 0.572 1
Se6 0.945 0.055 0.612 1
Se7 0.945 0.055 0.888 1
Se8 0.660 0.340 0.928 1
Te1 0.754 0.246 0.250 1
Te2 0.246 0.754 0.750 1
# total moment	0.000	μB per cell
# SG	Cmcm (63)
# E	-4.557	eV/atom

# RbPr2CuTeSe3, optimized geometry, DFT PBE-GGA
data_RbPr2CuTeSe3
_symmetry_space_group_name_H-M 'P 1'
_symmetry_Int_Tables_number 1
_cell_length_a 7.785
_cell_length_b 7.785
_cell_length_c 15.102
_cell_angle_alpha 90.00
_cell_angle_beta 90.00
_cell_angle_gamma 147.70
loop_
_symmetry_equiv_pos_as_xyz
'x,y,z'
loop_
_atom_site_label
_atom_site_fract_x
_atom_site_fract_y
_atom_site_fract_z
_atom_site_occupancy
Cu1 0.838 0.162 0.250 1
Cu2 0.162 0.838 0.750 1
Pr1 0.366 0.634 0.056 1
Pr2 0.366 0.634 0.444 1
Pr3 0.634 0.366 0.556 1
Pr4 0.634 0.366 0.944 1
Rb1 0.124 0.876 0.250 1
Rb2 0.876 0.124 0.750 1
Se1 0.000 0.000 0.000 1
Se2 0.742 0.258 0.112 1
Se3 0.742 0.258 0.388 1
Se4 0.000 0.000 0.500 1
Se5 0.258 0.742 0.612 1
Se6 0.258 0.742 0.888 1
Te1 0.438 0.562 0.250 1
Te2 0.562 0.438 0.750 1
# total moment	0.001	μB per cell
# SG	Cmcm (63)
# E	-4.901	eV/atom

# RbPr2CuTe3Se, optimized geometry, DFT PBE-GGA
data_RbPr2CuTe3Se
_symmetry_space_group_name_H-M 'P 1'
_symmetry_Int_Tables_number 1
_cell_length_a 7.988
_cell_length_b 7.988
_cell_length_c 15.712
_cell_angle_alpha 90.00
_cell_angle_beta 90.00
_cell_angle_gamma 147.89
loop_
_symmetry_equiv_pos_as_xyz
'x,y,z'
loop_
_atom_site_label
_atom_site_fract_x
_atom_site_fract_y
_atom_site_fract_z
_atom_site_occupancy
Cu1 0.843 0.157 0.250 1
Cu2 0.157 0.843 0.750 1
Pr1 0.374 0.626 0.060 1
Pr2 0.374 0.626 0.440 1
Pr3 0.626 0.374 0.560 1
Pr4 0.626 0.374 0.940 1
Rb1 0.116 0.884 0.250 1
Rb2 0.884 0.116 0.750 1
Se1 0.000 0.000 0.000 1
Se2 0.000 0.000 0.500 1
Te1 0.738 0.262 0.115 1
Te2 0.438 0.562 0.250 1
Te3 0.738 0.262 0.385 1
Te4 0.262 0.738 0.615 1
Te5 0.562 0.438 0.750 1
Te6 0.262 0.738 0.885 1
# total moment	0.001	μB per cell
# SG	Cmcm (63)
# E	-4.631	eV/atom

# Rb2Pr4Cu4Te9, optimized geometry, DFT PBE-GGA
data_Rb2Pr4Cu4Te9
_symmetry_space_group_name_H-M 'P 1'
_symmetry_Int_Tables_number 1
_cell_length_a 8.145
_cell_length_b 8.145
_cell_length_c 18.074
_cell_angle_alpha 107.60
_cell_angle_beta 107.60
_cell_angle_gamma 31.89
loop_
_symmetry_equiv_pos_as_xyz
'x,y,z'
loop_
_atom_site_label
_atom_site_fract_x
_atom_site_fract_y
_atom_site_fract_z
_atom_site_occupancy
Cu1 0.921 0.921 0.022 1
Cu2 0.258 0.258 0.268 1
Cu3 0.742 0.742 0.732 1
Cu4 0.079 0.079 0.978 1
Pr1 0.729 0.729 0.100 1
Pr2 0.844 0.844 0.444 1
Pr3 0.156 0.156 0.556 1
Pr4 0.271 0.271 0.900 1
Rb1 0.530 0.530 0.271 1
Rb2 0.470 0.470 0.729 1
Te1 0.372 0.372 0.079 1
Te2 0.100 0.100 0.130 1
Te3 0.850 0.850 0.274 1
Te4 0.195 0.195 0.391 1
Te5 0.500 0.500 0.500 1
Te6 0.805 0.805 0.609 1
Te7 0.150 0.150 0.726 1
Te8 0.900 0.900 0.870 1
Te9 0.628 0.628 0.921 1
# total moment	0.003	μB per cell
# SG	C2/m (12)
# E	-4.365	eV/atom

# RbPr2CuTe4, optimized geometry, DFT PBE-GGA
data_RbPr2CuTe4
_symmetry_space_group_name_H-M 'P 1'
_symmetry_Int_Tables_number 1
_cell_length_a 8.157
_cell_length_b 8.157
_cell_length_c 15.768
_cell_angle_alpha 90.00
_cell_angle_beta 90.00
_cell_angle_gamma 147.85
loop_
_symmetry_equiv_pos_as_xyz
'x,y,z'
loop_
_atom_site_label
_atom_site_fract_x
_atom_site_fract_y
_atom_site_fract_z
_atom_site_occupancy
Cu1 0.839 0.161 0.250 1
Cu2 0.161 0.839 0.750 1
Pr1 0.365 0.635 0.063 1
Pr2 0.365 0.635 0.437 1
Pr3 0.635 0.365 0.563 1
Pr4 0.635 0.365 0.937 1
Rb1 0.108 0.892 0.250 1
Rb2 0.892 0.108 0.750 1
Te1 0.000 0.000 0.000 1
Te2 0.734 0.266 0.117 1
Te3 0.432 0.568 0.250 1
Te4 0.734 0.266 0.383 1
Te5 0.000 0.000 0.500 1
Te6 0.266 0.734 0.617 1
Te7 0.568 0.432 0.750 1
Te8 0.266 0.734 0.883 1
# total moment	0.001	μB per cell
# SG	Cmcm (63)
# E	-4.527	eV/atom